A relaxed structure of Ba8NiPt2, computed with PBE.

abc: 6.5342 9.8436 9.8436
angles: 67.49 90.40 90.40
Closest atoms and distances in Å follow each position.
Fractional coordinates of all 11 atoms:
Ba: 0.7566 0.8832 0.2927  1 Pt 3.00, 1 Ni 3.11
Ba: 0.2434 0.7073 0.1168  1 Pt 3.00, 1 Ni 3.11
Ba: 0.7656 0.8169 0.8169  2 Pt 3.24-3.35, 1 Ni 3.35
Ba: 0.2344 0.1831 0.1831  2 Pt 3.24-3.35, 1 Ni 3.35
Ba: 0.7566 0.2927 0.8832  1 Pt 3.00, 1 Ni 3.11
Ba: 0.2434 0.1168 0.7073  1 Pt 3.00, 1 Ni 3.11
Ba: 0.2606 0.6098 0.6098  1 Pt 2.97
Ba: 0.7394 0.3902 0.3902  1 Pt 2.97
Ni: 0.0000 0.0000 0.0000  6 Ba 3.11-3.35
Pt: 0.2732 0.7910 0.7910  4 Ba 2.97-3.24
Pt: 0.7268 0.2090 0.2090  4 Ba 2.97-3.24

calculated density: 4393 kg/m3
magnetization: 0.0 μB per formula unit
electronic total energy: -3.181 eV/atom
formation energy: -3.7 kcal/mol of atoms
DOS at the Fermi energy: 9.9 states/eV per cell